[1]
The following is a DFT calculation (GGA-PBEsol) of a relaxed structure of AlAg7.

distance to the lowest polymorph of the same formula: 10.0 meV/atom
ΔH_f (0 K): -40.7 meV/atom

a b c (Å): 2.861 4.989 9.783
angles (deg): 101.25 90.00 106.66
Atoms (fractional coordinates):
Ag  0.508  0.015  0.258
Ag  0.492  0.985  0.742
Ag  0.248  0.495  0.874
Ag  0.262  0.525  0.379
Ag  0.738  0.475  0.621
Ag  0.752  0.505  0.126
Ag  0.000  0.000  0.000
Al  0.000  0.000  0.500



[2]
The following is a DFT calculation (GGA-PBEsol) of a relaxed structure of Ba6Ru2PtCl2O12.

ΔE_f (raw): -1999.9 meV/atom

a b c (Å): 5.790 5.790 15.088
angles (deg): 90.00 90.00 120.00
Each line ends with the local moment (μB).
Atoms (fractional coordinates):
Ru  0.000  0.000  0.819  1.81
Ru  0.000  0.000  0.181  1.81
O  0.838  0.677  0.757  0.21
O  0.677  0.838  0.243  0.21
O  0.848  0.696  0.087  0.04
O  0.162  0.838  0.243  0.21
O  0.323  0.162  0.757  0.21
O  0.152  0.848  0.913  0.04
O  0.838  0.162  0.757  0.21
O  0.304  0.152  0.087  0.04
O  0.152  0.304  0.913  0.04
O  0.848  0.152  0.087  0.04
O  0.696  0.848  0.913  0.04
O  0.162  0.323  0.243  0.21
Ba  0.333  0.667  0.785  0.02
Ba  0.667  0.333  0.634  0.02
Ba  0.667  0.333  0.916  0.01
Ba  0.333  0.667  0.366  0.02
Ba  0.333  0.667  0.084  0.01
Ba  0.667  0.333  0.215  0.02
Cl  0.333  0.667  0.577  0.01
Cl  0.667  0.333  0.423  0.01
Pt  0.000  0.000  0.000  0.09



[3]
The following is a DFT calculation (GGA-PBEsol) of a relaxed structure of Mg30CdCuO32.

ΔE_f (raw): -2603.9 meV/atom

a b c (Å): 8.444 8.494 8.494
angles (deg): 90.00 90.00 90.00
Each line ends with the local moment (μB).
Atoms (fractional coordinates):
O  0.500  0.500  0.252  0.00
O  0.500  0.000  0.738  0.01
O  0.500  0.500  0.748  0.00
O  0.500  0.252  0.500  0.00
O  0.750  0.249  0.249  0.00
O  0.250  0.000  0.500  0.00
O  0.750  0.500  0.000  0.00
O  0.000  0.500  0.749  0.00
O  0.250  0.249  0.751  0.00
O  0.250  0.751  0.249  0.00
O  0.000  0.000  0.741  0.03
O  0.250  0.500  0.500  0.00
O  0.000  0.259  0.000  0.03
O  0.250  0.751  0.751  0.00
O  0.000  0.251  0.500  0.00
O  0.000  0.500  0.251  0.00
O  0.769  0.000  0.000  0.08
O  0.500  0.000  0.262  0.01
O  0.750  0.000  0.500  0.00
O  0.750  0.751  0.751  0.00
O  0.000  0.741  0.000  0.03
O  0.000  0.749  0.500  0.00
O  0.500  0.748  0.500  0.00
O  0.500  0.262  0.000  0.01
O  0.000  0.000  0.259  0.03
O  0.750  0.249  0.751  0.00
O  0.500  0.738  0.000  0.01
O  0.231  0.000  0.000  0.08
O  0.750  0.500  0.500  0.00
O  0.250  0.500  0.000  0.00
O  0.250  0.249  0.249  0.00
O  0.750  0.751  0.249  0.00
Mg  0.000  0.249  0.249  0.00
Mg  0.751  0.750  0.500  0.00
Mg  0.754  0.000  0.747  0.00
Mg  0.249  0.500  0.750  0.00
Mg  0.500  0.748  0.252  0.00
Mg  0.249  0.250  0.500  0.00
Mg  0.500  0.000  0.500  0.00
Mg  0.500  0.252  0.748  0.00
Mg  0.000  0.000  0.500  0.00
Mg  0.246  0.000  0.253  0.00
Mg  0.246  0.253  0.000  0.00
Mg  0.500  0.748  0.748  0.00
Mg  0.000  0.500  0.000  0.00
Mg  0.754  0.000  0.253  0.00
Mg  0.751  0.250  0.500  0.00
Mg  0.754  0.253  0.000  0.00
Mg  0.249  0.750  0.500  0.00
Mg  0.000  0.751  0.249  0.00
Mg  0.500  0.500  0.000  0.00
Mg  0.751  0.500  0.250  0.00
Mg  0.754  0.747  0.000  0.00
Mg  0.246  0.747  0.000  0.00
Mg  0.000  0.249  0.751  0.00
Mg  0.500  0.500  0.500  0.00
Mg  0.751  0.500  0.750  0.00
Mg  0.249  0.500  0.250  0.00
Mg  0.000  0.500  0.500  0.00
Mg  0.000  0.751  0.751  0.00
Mg  0.246  0.000  0.747  0.00
Mg  0.500  0.252  0.252  0.00
Cu  0.000  0.000  0.000  0.59
Cd  0.500  0.000  0.000  0.02



[4]
The following is a DFT calculation (GGA-PBEsol) of a relaxed structure of LiTa2Tl.

ΔH_f (0 K): 295.8 meV/atom

a b c (Å): 3.414 3.414 6.304
angles (deg): 90.00 90.00 90.00
Atoms (fractional coordinates):
Ta  0.500  0.500  0.216
Ta  0.000  0.000  0.016
Tl  0.000  0.000  0.523
Li  0.500  0.500  0.744



Please write out number 3 again, unchanged.
The following is a DFT calculation (GGA-PBEsol) of a relaxed structure of Mg30CdCuO32.

ΔE_f (raw): -2603.9 meV/atom

a b c (Å): 8.444 8.494 8.494
angles (deg): 90.00 90.00 90.00
Each line ends with the local moment (μB).
Atoms (fractional coordinates):
O  0.500  0.500  0.252  0.00
O  0.500  0.000  0.738  0.01
O  0.500  0.500  0.748  0.00
O  0.500  0.252  0.500  0.00
O  0.750  0.249  0.249  0.00
O  0.250  0.000  0.500  0.00
O  0.750  0.500  0.000  0.00
O  0.000  0.500  0.749  0.00
O  0.250  0.249  0.751  0.00
O  0.250  0.751  0.249  0.00
O  0.000  0.000  0.741  0.03
O  0.250  0.500  0.500  0.00
O  0.000  0.259  0.000  0.03
O  0.250  0.751  0.751  0.00
O  0.000  0.251  0.500  0.00
O  0.000  0.500  0.251  0.00
O  0.769  0.000  0.000  0.08
O  0.500  0.000  0.262  0.01
O  0.750  0.000  0.500  0.00
O  0.750  0.751  0.751  0.00
O  0.000  0.741  0.000  0.03
O  0.000  0.749  0.500  0.00
O  0.500  0.748  0.500  0.00
O  0.500  0.262  0.000  0.01
O  0.000  0.000  0.259  0.03
O  0.750  0.249  0.751  0.00
O  0.500  0.738  0.000  0.01
O  0.231  0.000  0.000  0.08
O  0.750  0.500  0.500  0.00
O  0.250  0.500  0.000  0.00
O  0.250  0.249  0.249  0.00
O  0.750  0.751  0.249  0.00
Mg  0.000  0.249  0.249  0.00
Mg  0.751  0.750  0.500  0.00
Mg  0.754  0.000  0.747  0.00
Mg  0.249  0.500  0.750  0.00
Mg  0.500  0.748  0.252  0.00
Mg  0.249  0.250  0.500  0.00
Mg  0.500  0.000  0.500  0.00
Mg  0.500  0.252  0.748  0.00
Mg  0.000  0.000  0.500  0.00
Mg  0.246  0.000  0.253  0.00
Mg  0.246  0.253  0.000  0.00
Mg  0.500  0.748  0.748  0.00
Mg  0.000  0.500  0.000  0.00
Mg  0.754  0.000  0.253  0.00
Mg  0.751  0.250  0.500  0.00
Mg  0.754  0.253  0.000  0.00
Mg  0.249  0.750  0.500  0.00
Mg  0.000  0.751  0.249  0.00
Mg  0.500  0.500  0.000  0.00
Mg  0.751  0.500  0.250  0.00
Mg  0.754  0.747  0.000  0.00
Mg  0.246  0.747  0.000  0.00
Mg  0.000  0.249  0.751  0.00
Mg  0.500  0.500  0.500  0.00
Mg  0.751  0.500  0.750  0.00
Mg  0.249  0.500  0.250  0.00
Mg  0.000  0.500  0.500  0.00
Mg  0.000  0.751  0.751  0.00
Mg  0.246  0.000  0.747  0.00
Mg  0.500  0.252  0.252  0.00
Cu  0.000  0.000  0.000  0.59
Cd  0.500  0.000  0.000  0.02